# NaTc2Ge2

A relaxed NaTc2Ge2 crystal (PBE, the Alexandria database).

Cell and atoms, written as POSCAR:
```
NaTc2Ge2
1.0
7.358 0.000 0.000
0.000 7.358 0.000
0.000 0.000 2.975
Ge Tc Na
4 4 2
Direct
0.147 0.353 0.000 Ge
0.647 0.147 0.000 Ge
0.853 0.647 0.000 Ge
0.353 0.853 0.000 Ge
0.356 0.144 0.500 Tc
0.644 0.856 0.500 Tc
0.144 0.644 0.500 Tc
0.856 0.356 0.500 Tc
0.000 0.000 0.000 Na
0.500 0.500 0.000 Na
```

Calculated values
- SG = No. 127
- energy above the lowest structure with this stoichiometry (meV/atom) = 30.5
- magnetic moment (μB per formula unit) = 0.0

=====

# AcPr3Nd2Y6

A relaxed AcPr3Nd2Y6 crystal (PBE, the Alexandria database).

Cell and atoms, written as POSCAR:
```
AcPr3Nd2Y6
1.0
-0.497 -5.727 2.721
4.590 1.108 -4.260
5.836 5.027 9.176
Y Ac Nd Pr
6 1 2 3
Direct
0.420 0.085 0.252 Y
0.085 0.420 0.252 Y
0.749 0.749 0.252 Y
0.915 0.580 0.748 Y
0.251 0.251 0.748 Y
0.580 0.915 0.748 Y
0.000 0.000 0.000 Ac
0.667 0.333 0.000 Nd
0.333 0.667 0.000 Nd
0.500 0.500 0.500 Pr
0.167 0.833 0.500 Pr
0.833 0.167 0.500 Pr
```

Calculated values
- SG = No. 12
- final energy (eV/f.u.) = -66.60
- magnetic moment (μB per formula unit) = 0.0

=====

# Tl3As5Pb12

A relaxed Tl3As5Pb12 crystal (PBE, the Alexandria database).

Cell and atoms, written as POSCAR:
```
Tl3As5Pb12
1.0
-0.385 10.576 11.115
-13.676 -0.630 -6.938
3.285 -13.701 6.086
As Pb Tl
20 48 12
Direct
0.125 0.375 0.250 As
0.125 0.750 0.375 As
0.375 0.250 0.125 As
0.625 0.875 0.250 As
0.875 0.250 0.625 As
0.750 0.125 0.875 As
0.500 0.500 0.500 As
0.750 0.625 0.375 As
0.875 0.625 0.750 As
0.375 0.125 0.750 As
0.000 0.500 0.000 As
0.500 0.000 0.000 As
0.000 0.000 0.500 As
0.000 0.500 0.500 As
0.500 0.000 0.500 As
0.000 0.000 0.000 As
0.250 0.875 0.125 As
0.500 0.500 0.000 As
0.625 0.750 0.875 As
0.250 0.375 0.625 As
0.326 0.550 0.420 Pb
0.674 0.450 0.580 Pb
0.174 0.080 0.950 Pb
0.906 0.826 0.776 Pb
0.580 0.630 0.406 Pb
0.050 0.630 0.724 Pb
0.420 0.050 0.326 Pb
0.630 0.580 0.906 Pb
0.406 0.276 0.326 Pb
0.870 0.276 0.450 Pb
0.174 0.094 0.724 Pb
0.580 0.950 0.674 Pb
0.776 0.450 0.370 Pb
0.724 0.130 0.050 Pb
0.094 0.920 0.370 Pb
0.420 0.370 0.594 Pb
0.406 0.130 0.580 Pb
0.450 0.776 0.870 Pb
0.826 0.920 0.050 Pb
0.870 0.594 0.920 Pb
0.094 0.174 0.224 Pb
0.370 0.420 0.094 Pb
0.550 0.326 0.920 Pb
0.224 0.550 0.630 Pb
0.674 0.224 0.594 Pb
0.050 0.420 0.826 Pb
0.950 0.370 0.276 Pb
0.224 0.674 0.094 Pb
0.920 0.826 0.550 Pb
0.630 0.050 0.224 Pb
0.906 0.080 0.630 Pb
0.776 0.326 0.906 Pb
0.080 0.906 0.130 Pb
0.920 0.094 0.870 Pb
0.550 0.224 0.130 Pb
0.276 0.406 0.826 Pb
0.326 0.776 0.406 Pb
0.950 0.580 0.174 Pb
0.370 0.950 0.776 Pb
0.594 0.870 0.420 Pb
0.080 0.174 0.450 Pb
0.130 0.724 0.550 Pb
0.130 0.406 0.080 Pb
0.594 0.724 0.674 Pb
0.724 0.594 0.174 Pb
0.276 0.870 0.950 Pb
0.826 0.906 0.276 Pb
0.450 0.674 0.080 Pb
0.875 0.750 0.125 Tl
0.625 0.375 0.750 Tl
0.750 0.375 0.125 Tl
0.625 0.250 0.375 Tl
0.250 0.125 0.375 Tl
0.375 0.750 0.625 Tl
0.375 0.625 0.250 Tl
0.125 0.875 0.750 Tl
0.875 0.125 0.250 Tl
0.125 0.250 0.875 Tl
0.750 0.875 0.625 Tl
0.250 0.625 0.875 Tl
```

Calculated values
- SG = No. 230
- final energy (eV/f.u.) = -71.76
- magnetic moment (μB per formula unit) = 0.0

=====

# CsTeS

A relaxed CsTeS crystal (PBE, the Alexandria database).

Cell and atoms, written as POSCAR:
```
CsTeS
1.0
4.532 0.255 -0.800
-1.026 4.422 -0.800
0.050 0.066 11.777
Cs Te S
2 2 2
Direct
0.395 0.395 0.790 Cs
0.605 0.605 0.210 Cs
0.750 0.250 0.500 Te
0.250 0.750 0.500 Te
0.855 0.145 0.000 S
0.145 0.855 0.000 S
```

Calculated values
- SG = No. 69
- energy above the lowest structure with this stoichiometry (meV/atom) = 87.3
- uncorrected formation energy (eV/atom) = -0.5741
- magnetic moment (μB per formula unit) = 0.0

=====

# PmVRh2

A relaxed PmVRh2 crystal (PBE, the Alexandria database).

Cell and atoms, written as POSCAR:
```
PmVRh2
1.0
3.082 0.000 0.000
0.000 3.082 0.000
0.000 0.000 7.340
Rh V Pm
2 1 1
Direct
0.000 0.000 0.807 Rh
0.000 0.000 0.193 Rh
0.500 0.500 0.000 V
0.500 0.500 0.500 Pm
```

Calculated values
- SG = No. 123
- energy above the lowest structure with this stoichiometry (meV/atom) = 0.0
- magnetic moment (μB per formula unit) = 0.0

=====

# CsTaAs2Se

A relaxed CsTaAs2Se crystal (PBE, the Alexandria database).

Cell and atoms, written as POSCAR:
```
CsTaAs2Se
1.0
-3.145 3.994 -2.142
-2.659 -3.737 -3.065
-3.517 -0.685 3.886
As Se Ta Cs
2 1 1 1
Direct
0.000 0.500 0.000 As
0.500 0.000 0.000 As
0.000 0.000 0.500 Se
0.500 0.500 0.500 Ta
0.000 0.000 0.000 Cs
```

Calculated values
- SG = No. 123
- energy above the lowest structure with this stoichiometry (meV/atom) = 2688.8
- uncorrected formation energy (eV/atom) = 2.3907
- magnetic moment (μB per formula unit) = 0.0